Entry from Alexandria: crystalline Y3SbPd at its relaxed geometry (GGA-PBE).

Values from the calculation:
energy relative to the lowest polymorph listed for this composition	235	meV per atom
symmetry	Pm-3m, No. 221
energy relative to the elements, uncorrected	-429	meV per atom
final energy	-30.85	eV per cell

a = 5.3719 Å, b = 5.3719 Å, c = 5.3719 Å
α = 90.00°, β = 90.00°, γ = 90.00°
Element x y z (fractional)
Y 0.0000 0.0000 0.5000
Y 0.0000 0.5000 0.0000
Y 0.5000 0.0000 0.0000
Sb 0.5000 0.5000 0.5000
Pd 0.0000 0.0000 0.0000